# K2Ca2BiO6 (PBE, relaxed)
# - Uncorrected formation energy: -1.762 eV per atom
# - E: -5.382 eV/atom
# - M_tot: 1.09 μB per formula unit
data_K2Ca2BiO6
_cell_length_a 6.054
_cell_length_b 10.400
_cell_length_c 6.668
_cell_angle_alpha 90.00
_cell_angle_beta 108.66
_cell_angle_gamma 90.00
_space_group_name_H-M_alt 'C 1 2/m 1'
_space_group_IT_number 12
loop_
_space_group_symop_operation_xyz
'x,y,z'
'-x,-y,-z'
'-x,y,-z'
'x,-y,z'
'x+1/2,y+1/2,z'
'-x+1/2,-y+1/2,-z'
'-x+1/2,y+1/2,-z'
'x+1/2,-y+1/2,z'
loop_
_atom_site_label
_atom_site_type_symbol
_atom_site_fract_x
_atom_site_fract_y
_atom_site_fract_z
K1 K 0.000 0.169 0.000
Ca1 Ca 0.000 0.339 0.500
Bi1 Bi 0.000 0.000 0.500
O1 O 0.209 0.157 0.680
O2 O 0.235 0.000 0.318

---

# K3Ca2BiO6 (PBE, relaxed)
# - Uncorrected formation energy: -1.890 eV per atom
# - E: -5.301 eV/atom
# - M_tot: 0.00 μB per formula unit
data_K3Ca2BiO6
_cell_length_a 6.040
_cell_length_b 10.454
_cell_length_c 6.554
_cell_angle_alpha 90.00
_cell_angle_beta 108.02
_cell_angle_gamma 90.00
_space_group_name_H-M_alt 'C 1 2/m 1'
_space_group_IT_number 12
loop_
_space_group_symop_operation_xyz
'x,y,z'
'-x,-y,-z'
'-x,y,-z'
'x,-y,z'
'x+1/2,y+1/2,z'
'-x+1/2,-y+1/2,-z'
'-x+1/2,y+1/2,-z'
'x+1/2,-y+1/2,z'
loop_
_atom_site_label
_atom_site_type_symbol
_atom_site_fract_x
_atom_site_fract_y
_atom_site_fract_z
K1 K 0.000 0.000 0.000
K2 K 0.000 0.330 0.000
Ca1 Ca 0.000 0.167 0.500
Bi1 Bi 0.000 0.500 0.500
O1 O 0.217 0.347 0.691
O2 O 0.241 0.500 0.309

---

# K2CaBiO4 (PBE, relaxed)
# - Uncorrected formation energy: -1.715 eV per atom
# - E: -5.204 eV/atom
# - M_tot: 0.00 μB per formula unit
data_K2CaBiO4
_cell_length_a 6.063
_cell_length_b 3.558
_cell_length_c 6.569
_cell_angle_alpha 90.00
_cell_angle_beta 107.91
_cell_angle_gamma 90.00
_space_group_name_H-M_alt 'P 1 2/m 1'
_space_group_IT_number 10
loop_
_space_group_symop_operation_xyz
'x,y,z'
'-x,-y,-z'
'-x,y,-z'
'x,-y,z'
loop_
_atom_site_label
_atom_site_type_symbol
_atom_site_fract_x
_atom_site_fract_y
_atom_site_fract_z
K1 K 0.000 0.000 0.000
K2 K 0.500 0.500 0.000
Ca1 Ca 0.000 0.500 0.500
Bi1 Bi 0.500 0.000 0.500
O1 O 0.246 0.000 0.691
O2 O 0.280 0.500 0.305